Arrangement a

Compound: Fe3NiPd4
Source: Alexandria
Functional: GGA-PBE
Structure: relaxed

- ρ (g cm⁻³) = 9.81
- SG = I4/mmm, No. 139
- D(E_F) (states/eV per atom) = 0.7671
- M_tot (μB per formula unit) = 11.3

Cell lengths 3.849, 3.849, 14.900 Å; angles 90.00, 90.00, 90.00 degrees
Element x y z (fractional)
1 Fe 0.000 0.000 0.000
2 Fe 0.000 0.000 0.250
3 Fe 0.000 0.000 0.750
4 Fe 0.500 0.500 0.250
5 Fe 0.500 0.500 0.500
6 Fe 0.500 0.500 0.750
7 Ni 0.000 0.000 0.500
8 Ni 0.500 0.500 0.000
9 Pd 0.000 0.500 0.124
10 Pd 0.000 0.500 0.376
11 Pd 0.000 0.500 0.624
12 Pd 0.000 0.500 0.876
13 Pd 0.500 0.000 0.124
14 Pd 0.500 0.000 0.376
15 Pd 0.500 0.000 0.624
16 Pd 0.500 0.000 0.876



Arrangement b

Compound: Fe3NiPd4
Source: Alexandria
Functional: GGA-PBE
Structure: relaxed

- ρ (g cm⁻³) = 9.82
- SG = Immm, No. 71
- D(E_F) (states/eV per atom) = 1.1798
- M_tot (μB per formula unit) = 4.1

Cell lengths 3.729, 3.854, 15.337 Å; angles 90.00, 90.00, 90.00 degrees
Element x y z (fractional)
1 Fe 0.000 0.000 0.000
2 Fe 0.000 0.500 0.123
3 Fe 0.000 0.500 0.877
4 Fe 0.500 0.000 0.377
5 Fe 0.500 0.000 0.623
6 Fe 0.500 0.500 0.500
7 Ni 0.000 0.000 0.500
8 Ni 0.500 0.500 0.000
9 Pd 0.000 0.000 0.251
10 Pd 0.000 0.000 0.749
11 Pd 0.000 0.500 0.385
12 Pd 0.000 0.500 0.615
13 Pd 0.500 0.000 0.115
14 Pd 0.500 0.000 0.885
15 Pd 0.500 0.500 0.249
16 Pd 0.500 0.500 0.751



Relative energy table, unit meV/atom: arrangement a 0; arrangement b 81



Arrangement a

Compound: FeNiPdPt
Source: Alexandria
Functional: GGA-PBE
Structure: relaxed

- ρ (g cm⁻³) = 12.54
- SG = F-43m, No. 216
- D(E_F) (states/eV per atom) = 0.8227
- M_tot (μB per formula unit) = 4.3

Cell lengths 6.040, 6.040, 6.040 Å; angles 90.00, 90.00, 90.00 degrees
Element x y z (fractional)
1 Fe 0.000 0.000 0.000
2 Fe 0.000 0.500 0.500
3 Fe 0.500 0.000 0.500
4 Fe 0.500 0.500 0.000
5 Ni 0.000 0.000 0.500
6 Ni 0.000 0.500 0.000
7 Ni 0.500 0.000 0.000
8 Ni 0.500 0.500 0.500
9 Pd 0.250 0.250 0.250
10 Pd 0.250 0.750 0.750
11 Pd 0.750 0.250 0.750
12 Pd 0.750 0.750 0.250
13 Pt 0.250 0.250 0.750
14 Pt 0.250 0.750 0.250
15 Pt 0.750 0.250 0.250
16 Pt 0.750 0.750 0.750



Arrangement b

Compound: FeNiPdPt
Source: Alexandria
Functional: GGA-PBE
Structure: relaxed

- ρ (g cm⁻³) = 12.60
- SG = I-4m2, No. 119
- D(E_F) (states/eV per atom) = 1.1514
- M_tot (μB per formula unit) = 4.6

Cell lengths 3.868, 3.868, 7.325 Å; angles 90.00, 90.00, 90.00 degrees
Element x y z (fractional)
1 Fe 0.000 0.000 0.000
2 Fe 0.500 0.500 0.500
3 Ni 0.000 0.000 0.500
4 Ni 0.500 0.500 0.000
5 Pd 0.000 0.500 0.750
6 Pd 0.500 0.000 0.250
7 Pt 0.000 0.500 0.250
8 Pt 0.500 0.000 0.750



Relative energy table, unit meV/atom: arrangement a 70; arrangement b 0



Arrangement a

Compound: Fe2Ni5Pt12
Source: Alexandria
Functional: GGA-PBE
Structure: relaxed

- ρ (g cm⁻³) = 16.33
- SG = C2/m, No. 12
- D(E_F) (states/eV per atom) = 1.2299
- M_tot (μB per formula unit) = 13.5

Cell lengths 7.120, 7.120, 8.501 Å; angles 126.11, 126.11, 64.95 degrees
Element x y z (fractional)
1 Fe 0.249 0.751 0.000
2 Fe 0.751 0.249 0.000
3 Ni 0.202 0.202 0.305
4 Ni 0.298 0.298 0.695
5 Ni 0.500 0.500 0.500
6 Ni 0.702 0.702 0.305
7 Ni 0.798 0.798 0.695
8 Pt 0.048 0.550 0.208
9 Pt 0.094 0.094 0.903
10 Pt 0.148 0.650 0.603
11 Pt 0.350 0.852 0.397
12 Pt 0.404 0.404 0.093
13 Pt 0.450 0.952 0.792
14 Pt 0.550 0.048 0.208
15 Pt 0.596 0.596 0.907
16 Pt 0.650 0.148 0.603
17 Pt 0.852 0.350 0.397
18 Pt 0.906 0.906 0.097
19 Pt 0.952 0.450 0.792



Arrangement b

Compound: Fe2Ni5Pt12
Source: Alexandria
Functional: GGA-PBE
Structure: relaxed

- ρ (g cm⁻³) = 15.10
- SG = C2/m, No. 12
- D(E_F) (states/eV per atom) = 1.2665
- M_tot (μB per formula unit) = 12.0

Cell lengths 7.641, 7.641, 8.058 Å; angles 101.39, 101.39, 41.03 degrees
Element x y z (fractional)
1 Fe 0.226 0.774 0.000
2 Fe 0.774 0.226 0.000
3 Ni 0.130 0.130 0.877
4 Ni 0.207 0.207 0.391
5 Ni 0.500 0.500 0.500
6 Ni 0.793 0.793 0.609
7 Ni 0.870 0.870 0.123
8 Pt 0.024 0.024 0.328
9 Pt 0.048 0.544 0.873
10 Pt 0.106 0.609 0.392
11 Pt 0.391 0.894 0.608
12 Pt 0.424 0.424 0.743
13 Pt 0.456 0.952 0.127
14 Pt 0.544 0.048 0.873
15 Pt 0.576 0.576 0.257
16 Pt 0.609 0.106 0.392
17 Pt 0.894 0.391 0.608
18 Pt 0.952 0.456 0.127
19 Pt 0.976 0.976 0.672



Relative energy table, unit meV/atom: arrangement a 0; arrangement b 247



Arrangement a

Compound: FeNiPt
Source: Alexandria
Functional: GGA-PBE
Structure: relaxed

- ρ (g cm⁻³) = 13.16
- SG = Imm2, No. 44
- D(E_F) (states/eV per atom) = 0.8336
- M_tot (μB per formula unit) = 3.8

Cell lengths 2.690, 3.614, 8.035 Å; angles 90.00, 90.00, 90.00 degrees
Element x y z (fractional)
1 Fe 0.000 0.000 0.000
2 Fe 0.500 0.500 0.500
3 Ni 0.000 0.000 0.656
4 Ni 0.500 0.500 0.156
5 Pt 0.000 0.000 0.328
6 Pt 0.500 0.500 0.828



Arrangement b

Compound: FeNiPt
Source: Alexandria
Functional: GGA-PBE
Structure: relaxed

- ρ (g cm⁻³) = 13.12
- SG = Cm, No. 8
- D(E_F) (states/eV per atom) = 0.8814
- M_tot (μB per formula unit) = 4.0

Cell lengths 8.293, 3.757, 5.287 Å; angles 90.00, 107.93, 90.00 degrees
Element x y z (fractional)
1 Fe 0.000 0.000 0.000
2 Fe 0.171 0.500 0.819
3 Fe 0.500 0.500 0.000
4 Fe 0.671 0.000 0.819
5 Ni 0.004 0.000 0.494
6 Ni 0.332 0.000 0.151
7 Ni 0.504 0.500 0.494
8 Ni 0.832 0.500 0.151
9 Pt 0.163 0.500 0.309
10 Pt 0.343 0.000 0.669
11 Pt 0.663 0.000 0.309
12 Pt 0.843 0.500 0.669



Relative energy table, unit meV/atom: arrangement a 0; arrangement b 21



Arrangement a

Compound: FeNiPt
Source: Alexandria
Functional: GGA-PBE
Structure: relaxed

- ρ (g cm⁻³) = 13.07
- SG = P3m1, No. 156
- D(E_F) (states/eV per atom) = 1.1250
- M_tot (μB per formula unit) = 4.0

Cell lengths 4.134, 4.134, 2.658 Å; angles 90.00, 90.00, 120.00 degrees
Element x y z (fractional)
1 Fe 0.000 0.000 0.000
2 Ni 0.667 0.333 0.015
3 Pt 0.333 0.667 0.508



Arrangement b

Compound: FeNiPt
Source: Alexandria
Functional: GGA-PBE
Structure: relaxed

- ρ (g cm⁻³) = 13.14
- SG = C2, No. 5
- D(E_F) (states/eV per atom) = 0.8452
- M_tot (μB per formula unit) = 3.8

Cell lengths 4.589, 7.872, 4.626 Å; angles 90.00, 110.56, 90.00 degrees
Element x y z (fractional)
1 Fe 0.000 0.000 0.000
2 Fe 0.000 0.184 0.500
3 Fe 0.500 0.500 0.000
4 Fe 0.500 0.684 0.500
5 Ni 0.000 0.330 0.000
6 Ni 0.000 0.509 0.500
7 Ni 0.500 0.009 0.500
8 Ni 0.500 0.830 0.000
9 Pt 0.000 0.661 0.000
10 Pt 0.000 0.850 0.500
11 Pt 0.500 0.161 0.000
12 Pt 0.500 0.350 0.500



Arrangement c

Compound: FeNiPt
Source: Alexandria
Functional: GGA-PBE
Structure: relaxed

- ρ (g cm⁻³) = 13.19
- SG = I4mm, No. 107
- D(E_F) (states/eV per atom) = 0.8791
- M_tot (μB per formula unit) = 3.7

Cell lengths 2.663, 2.663, 10.992 Å; angles 90.00, 90.00, 90.00 degrees
Element x y z (fractional)
1 Fe 0.000 0.000 0.000
2 Fe 0.500 0.500 0.500
3 Ni 0.000 0.000 0.652
4 Ni 0.500 0.500 0.152
5 Pt 0.000 0.000 0.326
6 Pt 0.500 0.500 0.826



Arrangement d

Compound: FeNiPt
Source: Alexandria
Functional: GGA-PBE
Structure: relaxed

- ρ (g cm⁻³) = 13.13
- SG = Cmcm, No. 63
- D(E_F) (states/eV per atom) = 0.8494
- M_tot (μB per formula unit) = 4.0

Cell lengths 3.793, 10.794, 3.827 Å; angles 90.00, 90.00, 90.00 degrees
Element x y z (fractional)
1 Fe 0.000 0.079 0.250
2 Fe 0.000 0.921 0.750
3 Fe 0.500 0.421 0.750
4 Fe 0.500 0.579 0.250
5 Ni 0.000 0.425 0.250
6 Ni 0.000 0.575 0.750
7 Ni 0.500 0.075 0.750
8 Ni 0.500 0.925 0.250
9 Pt 0.000 0.251 0.750
10 Pt 0.000 0.749 0.250
11 Pt 0.500 0.249 0.250
12 Pt 0.500 0.751 0.750



Relative energy table, unit meV/atom: arrangement a 47; arrangement b 0; arrangement c 40; arrangement d 27



Arrangement a

Compound: FeNiPt
Source: Alexandria
Functional: GGA-PBE
Structure: relaxed

- ρ (g cm⁻³) = 13.07
- SG = Cm, No. 8
- D(E_F) (states/eV per atom) = 0.9909
- M_tot (μB per formula unit) = 3.9

Cell lengths 9.674, 2.670, 6.283 Å; angles 90.00, 104.15, 90.00 degrees
Element x y z (fractional)
1 Fe 0.000 0.000 0.000
2 Fe 0.223 0.500 0.951
3 Fe 0.500 0.500 0.000
4 Fe 0.723 0.000 0.951
5 Ni 0.061 0.000 0.621
6 Ni 0.388 0.000 0.271
7 Ni 0.561 0.500 0.621
8 Ni 0.888 0.500 0.271
9 Pt 0.162 0.500 0.327
10 Pt 0.341 0.000 0.677
11 Pt 0.662 0.000 0.327
12 Pt 0.841 0.500 0.677



Arrangement b

Compound: FeNiPt
Source: Alexandria
Functional: GGA-PBE
Structure: relaxed

- ρ (g cm⁻³) = 13.10
- SG = Pm, No. 6
- D(E_F) (states/eV per atom) = 0.9857
- M_tot (μB per formula unit) = 3.9

Cell lengths 4.562, 2.680, 6.625 Å; angles 90.00, 104.31, 90.00 degrees
Element x y z (fractional)
1 Fe 0.000 0.000 0.000
2 Fe 0.216 0.000 0.668
3 Ni 0.747 0.500 0.673
4 Ni 0.787 0.000 0.347
5 Pt 0.286 0.500 0.345
6 Pt 0.508 0.500 0.994



Arrangement c

Compound: FeNiPt
Source: Alexandria
Functional: GGA-PBE
Structure: relaxed

- ρ (g cm⁻³) = 13.18
- SG = Ama2, No. 40
- D(E_F) (states/eV per atom) = 1.0557
- M_tot (μB per formula unit) = 3.8

Cell lengths 4.309, 4.580, 7.907 Å; angles 90.00, 90.00, 90.00 degrees
Element x y z (fractional)
1 Fe 0.250 0.176 0.000
2 Fe 0.250 0.676 0.500
3 Fe 0.750 0.324 0.500
4 Fe 0.750 0.824 0.000
5 Ni 0.250 0.167 0.339
6 Ni 0.250 0.667 0.839
7 Ni 0.750 0.333 0.839
8 Ni 0.750 0.833 0.339
9 Pt 0.250 0.181 0.672
10 Pt 0.250 0.681 0.172
11 Pt 0.750 0.319 0.172
12 Pt 0.750 0.819 0.672



Relative energy table, unit meV/atom: arrangement a 44; arrangement b 12; arrangement c 0



Arrangement a

Compound: FeNiPt
Source: Alexandria
Functional: GGA-PBE
Structure: relaxed

- ρ (g cm⁻³) = 9.84
- SG = Immm, No. 71
- D(E_F) (states/eV per atom) = 1.6637
- M_tot (μB per formula unit) = 4.4

Cell lengths 4.504, 4.805, 4.828 Å; angles 90.00, 90.00, 90.00 degrees
Element x y z (fractional)
1 Fe 0.000 0.000 0.000
2 Fe 0.500 0.500 0.500
3 Ni 0.000 0.500 0.500
4 Ni 0.500 0.000 0.000
5 Pt 0.000 0.000 0.500
6 Pt 0.500 0.500 0.000



Arrangement b

Compound: FeNiPt
Source: Alexandria
Functional: GGA-PBE
Structure: relaxed

- ρ (g cm⁻³) = 12.98
- SG = P3m1, No. 156
- D(E_F) (states/eV per atom) = 0.9957
- M_tot (μB per formula unit) = 3.9

Cell lengths 2.683, 2.683, 6.356 Å; angles 90.00, 90.00, 120.00 degrees
Element x y z (fractional)
1 Fe 0.000 0.000 0.000
2 Ni 0.667 0.333 0.306
3 Pt 0.333 0.667 0.655



Arrangement c

Compound: FeNiPt
Source: Alexandria
Functional: GGA-PBE
Structure: relaxed

- ρ (g cm⁻³) = 13.12
- SG = Cc, No. 9
- D(E_F) (states/eV per atom) = 1.0206
- M_tot (μB per formula unit) = 3.9

Cell lengths 7.887, 4.586, 5.191 Å; angles 90.00, 123.39, 90.00 degrees
Element x y z (fractional)
1 Fe 0.000 0.091 0.000
2 Fe 0.000 0.909 0.500
3 Fe 0.500 0.409 0.500
4 Fe 0.500 0.591 0.000
5 Ni 0.329 0.089 0.999
6 Ni 0.329 0.911 0.499
7 Ni 0.829 0.411 0.499
8 Ni 0.829 0.589 0.999
9 Pt 0.164 0.408 0.503
10 Pt 0.164 0.592 0.003
11 Pt 0.664 0.092 0.003
12 Pt 0.664 0.908 0.503



Relative energy table, unit meV/atom: arrangement a 1049; arrangement b 88; arrangement c 0



Arrangement a

Compound: Fe2Ni4Pt
Source: Alexandria
Functional: GGA-PBE
Structure: relaxed

- ρ (g cm⁻³) = 10.06
- SG = I4/mmm, No. 139
- D(E_F) (states/eV per atom) = 1.1514
- M_tot (μB per formula unit) = 9.0

Cell lengths 3.232, 3.232, 17.107 Å; angles 90.00, 90.00, 90.00 degrees
Element x y z (fractional)
1 Fe 0.000 0.000 0.088
2 Fe 0.000 0.000 0.912
3 Fe 0.500 0.500 0.412
4 Fe 0.500 0.500 0.588
5 Ni 0.000 0.000 0.354
6 Ni 0.000 0.000 0.646
7 Ni 0.000 0.500 0.250
8 Ni 0.000 0.500 0.750
9 Ni 0.500 0.000 0.250
10 Ni 0.500 0.000 0.750
11 Ni 0.500 0.500 0.146
12 Ni 0.500 0.500 0.854
13 Pt 0.000 0.000 0.500
14 Pt 0.500 0.500 0.000



Arrangement b

Compound: Fe2Ni4Pt
Source: Alexandria
Functional: GGA-PBE
Structure: relaxed

- ρ (g cm⁻³) = 10.01
- SG = P-1, No. 2
- D(E_F) (states/eV per atom) = 1.1516
- M_tot (μB per formula unit) = 8.9

Cell lengths 4.101, 4.452, 5.677 Å; angles 105.07, 94.50, 113.50 degrees
Element x y z (fractional)
1 Fe 0.241 0.039 0.352
2 Fe 0.759 0.961 0.648
3 Ni 0.000 0.500 0.000
4 Ni 0.454 0.405 0.769
5 Ni 0.500 0.000 0.000
6 Ni 0.546 0.595 0.231
7 Pt 0.000 0.500 0.500



Relative energy table, unit meV/atom: arrangement a 26; arrangement b 0



Arrangement a

Compound: FeNiPt3
Source: Alexandria
Functional: GGA-PBE
Structure: relaxed

- ρ (g cm⁻³) = 15.05
- SG = Pmmn, No. 59
- D(E_F) (states/eV per atom) = 1.0305
- M_tot (μB per formula unit) = 4.5

Cell lengths 2.710, 8.113, 7.022 Å; angles 90.00, 90.00, 90.00 degrees
Element x y z (fractional)
1 Fe 0.250 0.250 0.122
2 Fe 0.750 0.750 0.878
3 Ni 0.250 0.250 0.483
4 Ni 0.750 0.750 0.517
5 Pt 0.250 0.526 0.694
6 Pt 0.250 0.750 0.188
7 Pt 0.250 0.974 0.694
8 Pt 0.750 0.026 0.306
9 Pt 0.750 0.250 0.812
10 Pt 0.750 0.474 0.306



Arrangement b

Compound: FeNiPt3
Source: Alexandria
Functional: GGA-PBE
Structure: relaxed

- ρ (g cm⁻³) = 16.33
- SG = C2/c, No. 15
- D(E_F) (states/eV per atom) = 1.0584
- M_tot (μB per formula unit) = 4.8

Cell lengths 7.315, 7.315, 4.628 Å; angles 95.44, 95.44, 142.98 degrees
Element x y z (fractional)
1 Fe 0.152 0.848 0.750
2 Fe 0.848 0.152 0.250
3 Ni 0.349 0.651 0.750
4 Ni 0.651 0.349 0.250
5 Pt 0.057 0.943 0.250
6 Pt 0.251 0.749 0.250
7 Pt 0.445 0.555 0.250
8 Pt 0.555 0.445 0.750
9 Pt 0.749 0.251 0.750
10 Pt 0.943 0.057 0.750



Relative energy table, unit meV/atom: arrangement a 173; arrangement b 0



Arrangement a

Compound: Fe2Ni3Pt2
Source: Alexandria
Functional: GGA-PBE
Structure: relaxed

- ρ (g cm⁻³) = 12.63
- SG = C2/m, No. 12
- D(E_F) (states/eV per atom) = 1.0104
- M_tot (μB per formula unit) = 8.4

Cell lengths 8.320, 3.679, 5.875 Å; angles 90.00, 97.70, 90.00 degrees
Element x y z (fractional)
1 Fe 0.143 0.000 0.418
2 Fe 0.357 0.500 0.582
3 Fe 0.643 0.500 0.418
4 Fe 0.857 0.000 0.582
5 Ni 0.000 0.000 0.000
6 Ni 0.211 0.500 0.143
7 Ni 0.289 0.000 0.857
8 Ni 0.500 0.500 0.000
9 Ni 0.711 0.000 0.143
10 Ni 0.789 0.500 0.857
11 Pt 0.075 0.500 0.721
12 Pt 0.425 0.000 0.279
13 Pt 0.575 0.000 0.721
14 Pt 0.925 0.500 0.279



Arrangement b

Compound: Fe2Ni3Pt2
Source: Alexandria
Functional: GGA-PBE
Structure: relaxed

- ρ (g cm⁻³) = 12.35
- SG = P2_1/c, No. 14
- D(E_F) (states/eV per atom) = 0.9514
- M_tot (μB per formula unit) = 8.6

Cell lengths 4.369, 9.685, 4.345 Å; angles 90.00, 97.33, 90.00 degrees
Element x y z (fractional)
1 Fe 0.109 0.185 0.304
2 Fe 0.109 0.315 0.804
3 Fe 0.891 0.685 0.196
4 Fe 0.891 0.815 0.696
5 Ni 0.051 0.057 0.762
6 Ni 0.051 0.443 0.262
7 Ni 0.500 0.000 0.500
8 Ni 0.500 0.500 0.000
9 Ni 0.949 0.557 0.738
10 Ni 0.949 0.943 0.238
11 Pt 0.418 0.656 0.509
12 Pt 0.418 0.844 0.009
13 Pt 0.582 0.156 0.991
14 Pt 0.582 0.344 0.491



Relative energy table, unit meV/atom: arrangement a 0; arrangement b 150